# Rb2BeWF6

A relaxed structure of Rb2BeWF6 (PBE with a Hubbard U, the Alexandria database).

Unit cell a=6.1402 b=6.1402 c=6.1402 alpha=121.70 beta=121.70 gamma=87.08
Element x y z (fractional)
Rb: 0.2500 0.7500 0.5000
Rb: 0.7500 0.2500 0.5000
Be: 0.0000 0.0000 0.0000
W: 0.5000 0.5000 0.0000
F: 0.1698 0.1698 0.0000
F: 0.2484 0.2484 0.4969
F: 0.2484 0.7516 0.0000
F: 0.7516 0.2484 0.0000
F: 0.7516 0.7516 0.5031
F: 0.8302 0.8302 0.0000

Values from the calculation:
- Density: 4.98 g/cm³
- Space-group type: I4/mmm
- Final energy: -4.938 eV per atom